GGA-PBE Cu2HgIr, relaxed; space-group type = P4mm (99); density of states at the Fermi level = 3.1 states/eV per cell
1.0
2.9855 0.0000 0.0000
0.0000 2.9855 0.0000
0.0000 0.0000 6.6638
Cu Hg Ir
2 1 1
Cartesian
0.0000 0.0000 0.0000
1.4927 1.4927 1.3424
0.0000 0.0000 3.1926
1.4927 1.4927 5.1873

GGA-PBE Cu2HgIr, relaxed; space-group type = Cmmm (65); density of states at the Fermi level = 3.0 states/eV per cell
1.0
1.4586 -2.3352 0.0000
1.4586 2.3352 0.0000
0.0000 0.0000 9.0202
Cu Hg Ir
2 1 1
Cartesian
0.0000 0.0000 2.1208
0.0000 0.0000 6.8994
1.4586 0.0000 4.5101
1.4586 0.0000 0.0000

no.,energy of formation from the pure elements (eV per atom),E above lowest polymorph (meV per atom),total DFT energy (no corrections) (hartree per atom)
1,0.271,32,-0.1495
2,0.333,93,-0.1472